A relaxed MgFeAu3 crystal, computed with PBE.

Unit cell a=4.8364 b=4.8364 c=4.8364 alpha=90.00 beta=90.00 gamma=90.00
Closest atoms and distances in Å follow each position.
Positions (direct):
Mg 0.5000 0.5000 0.5000  12 Au 3.42
Au 0.0000 0.5000 0.0000  2 Fe 2.42
Au 0.0000 0.0000 0.5000  2 Fe 2.42
Au 0.5000 0.0000 0.0000  2 Fe 2.42
Fe 0.0000 0.0000 0.0000  6 Au 2.42

E above lowest polymorph: 0.0 meV/atom
raw total energy: -17.8 eV/cell
ρ: 9850 kg/m³
energy relative to the elements: 0.42 eV/atom
SG: No. 221